[1]
The following is a DFT calculation (PBE) of a geometry-optimized SrCaLa2Tc structure.

Unit cell a=5.4739 b=5.4739 c=6.2580 alpha=90.00 beta=90.00 gamma=90.00
Space group P4/mmm (No. 123)
Inequivalent atoms, fractional coordinates:
Sr (0.0000, 0.0000, 0.0000)
Ca (0.5000, 0.5000, 0.0000)
La (0.0000, 0.5000, 0.5000)
Tc (0.0000, 0.0000, 0.5000)

## Properties
Calculated formation energy: 0.523 eV per formula unit
E: -4.676 eV/atom
Energy above the lowest structure with this stoichiometry: 50.3 meV per atom
Magnetization: 0.0 μB per cell

[2]
The following is a DFT calculation (PBE) of a geometry-optimized Ba3MoW structure.

Unit cell a=5.8734 b=5.8734 c=5.8734 alpha=90.00 beta=90.00 gamma=90.00
Space group Pm-3m (No. 221)
Inequivalent atoms, fractional coordinates:
Ba (0.0000, 0.0000, 0.5000)
Mo (0.0000, 0.0000, 0.0000)
W (0.5000, 0.5000, 0.5000)

## Properties
Calculated formation energy: 8.729 eV per formula unit
E: -4.165 eV/atom
Energy above the lowest structure with this stoichiometry: 0.0 meV per atom
Magnetization: 5.0 μB per cell

[3]
The following is a DFT calculation (PBE) of a geometry-optimized ScAs4Rh structure.

Unit cell a=7.6766 b=7.6766 c=7.6766 alpha=90.00 beta=90.00 gamma=90.00
Space group F-43m (No. 216)
Inequivalent atoms, fractional coordinates:
Sc (0.0000, 0.0000, 0.0000)
As (0.1244, 0.1244, 0.6244)
Rh (0.2500, 0.2500, 0.2500)

## Properties
Calculated formation energy: 0.862 eV per formula unit
E: -5.237 eV/atom
Magnetization: 0.0 μB per cell

[4]
The following is a DFT calculation (PBE) of a geometry-optimized LiCaSb2 structure.

Unit cell a=4.8594 b=4.8681 c=8.6900 alpha=90.00 beta=90.00 gamma=90.00
Space group Cmmm (No. 65)
Inequivalent atoms, fractional coordinates:
Li (0.0000, 0.0000, 0.0000)
Ca (0.0000, 0.0000, 0.5000)
Sb (0.0000, 0.5000, 0.2362)

## Properties
E: -3.609 eV/atom
Energy above the lowest structure with this stoichiometry: 53.1 meV per atom
Magnetization: 0.0 μB per cell
Formation energy (no corrections): -0.57 eV/atom

[5]
The following is a DFT calculation (PBE) of a geometry-optimized MgTlCuF6 structure.

Unit cell a=4.9662 b=4.9662 c=10.0372 alpha=90.00 beta=90.00 gamma=90.00
Space group P4_2nm (No. 102)
Inequivalent atoms, fractional coordinates:
Mg (0.0000, 0.0000, 0.0000)
Tl (0.0000, 0.0000, 0.6672)
Cu (0.0000, 0.0000, 0.3370)
F (0.1784, 0.1784, 0.1608)
F (0.2027, 0.2027, 0.8508)
F (0.2135, 0.2135, 0.4920)

## Properties
E: -4.356 eV/atom
Magnetization: 0.6 μB per cell
Formation energy (no corrections): -2.21 eV/atom

[6]
The following is a DFT calculation (PBE) of a geometry-optimized Li2CrOs structure.

Unit cell a=8.5263 b=2.4716 c=5.1684 alpha=90.00 beta=92.21 gamma=90.00
Space group Cm (No. 8)
Inequivalent atoms, fractional coordinates:
Li (0.0000, 0.0000, 0.0000)
Li (0.2462, 0.0000, 0.7804)
Cr (0.2489, 0.5000, 0.3044)
Os (0.0027, 0.5000, 0.4888)

## Properties
Calculated formation energy: 1.191 eV per formula unit
E: -5.872 eV/atom
Energy above the lowest structure with this stoichiometry: 54.4 meV per atom
Magnetization: 0.8 μB per cell

[7]
The following is a DFT calculation (PBE) of a geometry-optimized Tl6BiAu structure.

Unit cell a=5.1287 b=8.4961 c=11.0994 alpha=90.00 beta=90.00 gamma=90.00
Space group Amm2 (No. 38)
Inequivalent atoms, fractional coordinates:
Tl (0.0000, 0.0000, 0.0000)
Tl (0.0000, 0.1989, 0.2743)
Tl (0.5000, 0.0000, 0.7642)
Tl (0.5000, 0.2314, 0.4956)
Bi (0.0000, 0.0000, 0.5573)
Au (0.5000, 0.0000, 0.1864)

## Properties
Calculated formation energy: 0.001 eV per formula unit
E: -2.669 eV/atom
Magnetization: 0.0 μB per cell

[8]
The following is a DFT calculation (PBE) of a geometry-optimized Li2AuSe structure.

Unit cell a=3.3247 b=3.3247 c=22.3358 alpha=90.00 beta=90.00 gamma=120.00
Space group R-3m (No. 166, hexagonal axes)
Inequivalent atoms, fractional coordinates:
Li (0.0000, 0.0000, 0.2430)
Au (0.0000, 0.0000, 0.0000)
Se (0.0000, 0.0000, 0.5000)

## Properties
E: -3.167 eV/atom
Energy above the lowest structure with this stoichiometry: 151.3 meV per atom
Magnetization: 0.0 μB per cell
Formation energy (no corrections): -0.52 eV/atom

[9]
The following is a DFT calculation (PBE) of a geometry-optimized PuTlSe structure.

Unit cell a=3.7084 b=3.7084 c=12.3441 alpha=90.00 beta=90.00 gamma=90.00
Space group I4mm (No. 107)
Inequivalent atoms, fractional coordinates:
Pu (0.0000, 0.0000, 0.0000)
Tl (0.0000, 0.0000, 0.3037)
Se (0.0000, 0.0000, 0.5984)

## Properties
E: -7.341 eV/atom
Energy above the lowest structure with this stoichiometry: 0.0 meV per atom
Magnetization: 11.7 μB per cell
Formation energy (no corrections): -0.61 eV/atom

[10]
The following is a DFT calculation (PBE) of a geometry-optimized VPd4Pt6 structure.

Unit cell a=4.6341 b=7.2825 c=20.6525 alpha=90.00 beta=90.00 gamma=90.00
Space group Cmcm (No. 63)
Inequivalent atoms, fractional coordinates:
V (0.0000, 0.2478, 0.2500)
Pd (0.0000, 0.0575, 0.6262)
Pd (0.0000, 0.3594, 0.5468)
Pt (0.0000, 0.0000, 0.0000)
Pt (0.0000, 0.1009, 0.7500)
Pt (0.0000, 0.2896, 0.0940)
Pt (0.0000, 0.4312, 0.6849)

## Properties
Calculated formation energy: -0.061 eV per formula unit
E: -6.018 eV/atom
Magnetization: 0.0 μB per cell

[11]
The following is a DFT calculation (PBE) of a geometry-optimized CeMgGa2Pt4 structure.

Unit cell a=4.3402 b=4.3402 c=25.9903 alpha=90.00 beta=90.00 gamma=120.00
Space group R-3m (No. 166, hexagonal axes)
Inequivalent atoms, fractional coordinates:
Ce (0.0000, 0.0000, 0.0000)
Mg (0.0000, 0.0000, 0.5000)
Ga (0.0000, 0.0000, 0.2410)
Pt (0.0000, 0.0000, 0.1319)
Pt (0.0000, 0.0000, 0.3988)

## Properties
Calculated formation energy: -6.829 eV per formula unit
E: -5.572 eV/atom
Magnetization: 0.5 μB per cell

[12]
The following is a DFT calculation (PBE) of a geometry-optimized NbPdPt structure.

Unit cell a=2.8459 b=14.7783 c=4.5754 alpha=90.00 beta=90.00 gamma=90.00
Space group Cmcm (No. 63)
Inequivalent atoms, fractional coordinates:
Nb (0.0000, 0.1112, 0.2500)
Pd (0.0000, 0.2238, 0.7500)
Pt (0.0000, 0.4450, 0.2500)

## Properties
Calculated formation energy: -1.824 eV per formula unit
E: -7.709 eV/atom
Energy above the lowest structure with this stoichiometry: 0.0 meV per atom
Magnetization: 0.0 μB per cell

[13]
The following is a DFT calculation (PBE) of a geometry-optimized SmPd4Pb structure.

Unit cell a=7.7288 b=7.7288 c=7.7288 alpha=90.00 beta=90.00 gamma=90.00
Space group F-43m (No. 216)
Inequivalent atoms, fractional coordinates:
Sm (0.0000, 0.0000, 0.0000)
Pd (0.1249, 0.1249, 0.3751)
Pb (0.2500, 0.2500, 0.7500)

## Properties
Calculated formation energy: -3.342 eV per formula unit
E: -5.424 eV/atom
Magnetization: 0.0 μB per cell

[14]
The following is a DFT calculation (PBE) of a geometry-optimized NaTc2Ru2 structure.

Unit cell a=7.7499 b=7.7499 c=2.7021 alpha=90.00 beta=90.00 gamma=90.00
Space group P4/mbm (No. 127)
Inequivalent atoms, fractional coordinates:
Na (0.0000, 0.0000, 0.0000)
Tc (0.1189, 0.3811, 0.0000)
Ru (0.1664, 0.6664, 0.5000)

## Properties
Calculated formation energy: 1.482 eV per formula unit
E: -7.824 eV/atom
Energy above the lowest structure with this stoichiometry: 0.0 meV per atom
Magnetization: 0.0 μB per cell

[15]
The following is a DFT calculation (PBE) of a geometry-optimized FeRuRh2 structure.

Unit cell a=3.7762 b=3.7762 c=7.6320 alpha=90.00 beta=90.00 gamma=90.00
Space group I4/mmm (No. 139)
Inequivalent atoms, fractional coordinates:
Fe (0.0000, 0.0000, 0.0000)
Ru (0.0000, 0.0000, 0.5000)
Rh (0.0000, 0.5000, 0.2500)

## Properties
Calculated formation energy: 0.046 eV per formula unit
E: -8.099 eV/atom
Magnetization: 5.7 μB per cell

[16]
The following is a DFT calculation (PBE) of a geometry-optimized KRe2Pb structure.

Unit cell a=5.8252 b=11.1361 c=2.7444 alpha=90.00 beta=112.28 gamma=90.00
Space group C2/m (No. 12)
Inequivalent atoms, fractional coordinates:
K (0.0000, 0.0000, 0.0000)
Re (0.2500, 0.2500, 0.5000)
Pb (0.0000, 0.5000, 0.0000)

## Properties
Calculated formation energy: 6.059 eV per formula unit
E: -5.911 eV/atom
Magnetization: 0.0 μB per cell

[17]
The following is a DFT calculation (PBE) of a geometry-optimized CaReNi2As structure.

Unit cell a=4.4383 b=4.4383 c=4.6703 alpha=90.00 beta=90.00 gamma=90.00
Space group P4/mmm (No. 123)
Inequivalent atoms, fractional coordinates:
Ca (0.0000, 0.0000, 0.0000)
Re (0.5000, 0.5000, 0.0000)
Ni (0.0000, 0.5000, 0.5000)
As (0.5000, 0.5000, 0.5000)

## Properties
Calculated formation energy: 1.961 eV per formula unit
E: -5.740 eV/atom
Magnetization: 0.0 μB per cell

[18]
The following is a DFT calculation (PBE) of a geometry-optimized Sr2LiInPb6 structure.

Unit cell a=7.5306 b=7.5306 c=40.2324 alpha=90.00 beta=90.00 gamma=120.00
Space group R-3m (No. 166, hexagonal axes)
Inequivalent atoms, fractional coordinates:
Sr (0.0000, 0.0000, 0.1101)
Sr (0.0000, 0.0000, 0.2830)
Li (0.0000, 0.0000, 0.0000)
Li (0.0000, 0.0000, 0.5000)
In (0.0000, 0.0000, 0.4264)
Pb (0.0395, 0.5198, 0.3010)
Pb (0.0550, 0.5275, 0.8636)

## Properties
Calculated formation energy: -1.769 eV per formula unit
E: -3.204 eV/atom
Magnetization: 0.0 μB per cell

[19]
The following is a DFT calculation (PBE) of a geometry-optimized TbHoSe2O structure.

Unit cell a=3.9675 b=3.9675 c=14.5259 alpha=90.00 beta=90.00 gamma=90.00
Space group P4/nmm (No. 129, origin choice 2)
Inequivalent atoms, fractional coordinates:
Tb (0.2500, 0.2500, 0.0764)
Ho (0.2500, 0.2500, 0.6281)
Se (0.2500, 0.2500, 0.4118)
Se (0.2500, 0.2500, 0.8083)
O (0.2500, 0.7500, 0.0000)

## Properties
E: -6.642 eV/atom
Magnetization: 0.0 μB per cell
Formation energy (no corrections): -2.41 eV/atom

[20]
The following is a DFT calculation (PBE) of a geometry-optimized MnBe2Cr structure.

Unit cell a=2.7750 b=2.7750 c=5.1326 alpha=90.00 beta=90.00 gamma=90.00
Space group P4mm (No. 99)
Inequivalent atoms, fractional coordinates:
Mn (0.0000, 0.0000, 0.0000)
Be (0.0000, 0.0000, 0.4911)
Be (0.5000, 0.5000, 0.2758)
Cr (0.5000, 0.5000, 0.7779)

## Properties
Calculated formation energy: -0.035 eV per formula unit
E: -6.570 eV/atom
Energy above the lowest structure with this stoichiometry: 66.2 meV per atom
Magnetization: 0.0 μB per cell

[21]
The following is a DFT calculation (PBE) of a geometry-optimized Tb2Pm2Rh3 structure.

Unit cell a=8.7129 b=8.7129 c=8.7129 alpha=90.00 beta=90.00 gamma=90.00
Space group I2_13 (No. 199)
Inequivalent atoms, fractional coordinates:
Tb (0.1934, 0.3066, 0.6934)
Pm (0.0631, 0.0631, 0.0631)
Rh (0.0000, 0.2500, 0.4040)

## Properties
Calculated formation energy: -4.926 eV per formula unit
E: -6.535 eV/atom
Energy above the lowest structure with this stoichiometry: 0.0 meV per atom
Magnetization: 0.0 μB per cell

[22]
The following is a DFT calculation (PBE) of a geometry-optimized Sc2ZnCr structure.

Unit cell a=2.9745 b=2.9745 c=29.0537 alpha=90.00 beta=90.00 gamma=120.00
Space group R-3m (No. 166, hexagonal axes)
Inequivalent atoms, fractional coordinates:
Sc (0.0000, 0.0000, 0.0854)
Zn (0.0000, 0.0000, 0.5000)
Cr (0.0000, 0.0000, 0.0000)

## Properties
Calculated formation energy: 2.198 eV per formula unit
E: -5.341 eV/atom
Magnetization: 0.0 μB per cell

[23]
The following is a DFT calculation (PBE) of a geometry-optimized Dy4ThSc5 structure.

Unit cell a=9.9108 b=9.9108 c=5.9006 alpha=90.00 beta=90.00 gamma=90.00
Space group I4mm (No. 107)
Inequivalent atoms, fractional coordinates:
Dy (0.0000, 0.3216, 0.0000)
Th (0.0000, 0.0000, 0.7303)
Sc (0.0000, 0.0000, 0.2113)
Sc (0.1886, 0.1886, 0.4475)

## Properties
Calculated formation energy: 2.724 eV per formula unit
E: -5.476 eV/atom
Energy above the lowest structure with this stoichiometry: 13.3 meV per atom
Magnetization: 0.0 μB per cell

[24]
The following is a DFT calculation (PBE) of a geometry-optimized KIrOs structure.

Unit cell a=8.0477 b=4.3968 c=6.9524 alpha=90.00 beta=90.00 gamma=90.00
Space group Pnma (No. 62)
Inequivalent atoms, fractional coordinates:
K (0.0017, 0.2500, 0.1343)
Ir (0.1532, 0.2500, 0.5902)
Os (0.1496, 0.7500, 0.4152)

## Properties
Calculated formation energy: 2.201 eV per formula unit
E: -6.329 eV/atom
Energy above the lowest structure with this stoichiometry: 267.5 meV per atom
Magnetization: 0.0 μB per cell